Record 1
Density functional theory data (PBE) for a relaxed structure of Pm2PrDyTm2.

abc: 7.015 9.845 5.661
angles: 90.00 90.00 90.00
Positions (direct):
Pm: 0.248 0.167 0.000
Pm: 0.252 0.667 0.500
Pm: 0.748 0.333 0.500
Pm: 0.752 0.833 0.000
Pr: 0.000 0.500 0.000
Pr: 0.500 0.000 0.500
Dy: 0.000 0.000 0.500
Dy: 0.500 0.500 0.000
Tm: 0.250 0.333 0.500
Tm: 0.250 0.833 0.000
Tm: 0.750 0.167 0.000
Tm: 0.750 0.667 0.500

## Properties
Final energy = -4.57 eV per atom
Space-group type = Pnnm
Calculated formation energy = 0.067 eV/atom


Record 2
Density functional theory data (PBE) for a relaxed structure of KErFe2I8.

abc: 7.420 7.420 10.387
angles: 92.69 92.69 69.19
Positions (direct):
K: 0.000 0.000 0.000
Er: 0.000 0.000 0.500
Fe: 0.370 0.370 0.718
Fe: 0.630 0.630 0.282
I: 0.243 0.742 0.289
I: 0.246 0.246 0.503
I: 0.258 0.757 0.711
I: 0.290 0.290 0.939
I: 0.710 0.710 0.061
I: 0.742 0.243 0.289
I: 0.754 0.754 0.497
I: 0.757 0.258 0.711

## Properties
Final energy = -3.62 eV per atom
Space-group type = C2/m


Record 3
Density functional theory data (PBE) for a relaxed structure of YTlSb2.

abc: 6.183 6.183 4.658
angles: 99.81 99.81 40.63
Positions (direct):
Y: 0.000 0.000 0.000
Tl: 0.218 0.218 0.601
Sb: 0.468 0.468 0.488
Sb: 0.723 0.723 0.078

## Properties
Final energy = -4.69 eV per atom
Space-group type = Cm


Summary of size of the total moment in μB/f.u.
0.00, 8.00, 0.00
(order as listed above)